(1)
Below is a relaxed PtW2Se crystal, with properties calculated at the PBEsol level.

a b c (Å): 6.3521 6.3521 6.3521
angles (deg): 90.00 90.00 90.00
Space group F-43m (No. 216)
One atom of each set of equivalent atoms:
Pt  0.0000  0.0000  0.0000
W  0.0000  0.0000  0.5000
W  0.2500  0.2500  0.2500
Se  0.2500  0.2500  0.7500

Computed properties:
- calculated volume (Å³ per cell) = 256
- formation energy without anion corrections (eV per atom) = 0.689



(2)
Below is a relaxed CuAs3Cl crystal, with properties calculated at the PBEsol level.

a b c (Å): 4.7744 4.7744 4.7744
angles (deg): 90.00 90.00 90.00
Space group Pm-3m (No. 221)
One atom of each set of equivalent atoms:
Cu  0.0000  0.0000  0.0000
As  0.0000  0.5000  0.5000
Cl  0.5000  0.5000  0.5000

Computed properties:
- calculated volume (Å³ per cell) = 109
- formation energy without anion corrections (eV per atom) = 1.326



(3)
Below is a relaxed TcSBrN2 crystal, with properties calculated at the PBEsol level.

a b c (Å): 3.6460 3.6460 5.8917
angles (deg): 90.00 90.00 90.00
Space group P4/mmm (No. 123)
One atom of each set of equivalent atoms:
Tc  0.0000  0.0000  0.0000
S  0.5000  0.5000  0.0000
Br  0.5000  0.5000  0.5000
N  0.0000  0.5000  0.5000

Computed properties:
- calculated volume (Å³ per cell) = 78
- formation energy without anion corrections (eV per atom) = 2.289



(4)
Below is a relaxed RbNaIr2Rh crystal, with properties calculated at the PBEsol level.

a b c (Å): 4.7119 4.7119 5.3463
angles (deg): 90.00 90.00 90.00
Space group P4/mmm (No. 123)
One atom of each set of equivalent atoms:
Rb  0.0000  0.0000  0.0000
Na  0.5000  0.5000  0.0000
Ir  0.0000  0.5000  0.5000
Rh  0.5000  0.5000  0.5000

Computed properties:
- calculated volume (Å³ per cell) = 119
- formation energy from the elements (eV per atom) = 1.064



(5)
Below is a relaxed SrTc2Ir crystal, with properties calculated at the PBEsol level.

a b c (Å): 6.4525 6.4525 6.4525
angles (deg): 90.00 90.00 90.00
Space group F-43m (No. 216)
One atom of each set of equivalent atoms:
Sr  0.0000  0.0000  0.0000
Tc  0.0000  0.0000  0.5000
Tc  0.2500  0.2500  0.2500
Ir  0.2500  0.2500  0.7500

Computed properties:
- calculated volume (Å³ per cell) = 269
- excess energy over the best structure of this formula in the dataset (meV per atom) = 299
- formation energy from the elements (eV per atom) = 0.823



(6)
Below is a relaxed La2MoW crystal, with properties calculated at the PBEsol level.

a b c (Å): 4.0059 4.0059 5.3241
angles (deg): 90.00 90.00 90.00
Space group P4/mmm (No. 123)
One atom of each set of equivalent atoms:
La  0.0000  0.5000  0.0000
Mo  0.0000  0.0000  0.5000
W  0.5000  0.5000  0.5000

Computed properties:
- calculated volume (Å³ per cell) = 85
- excess energy over the best structure of this formula in the dataset (meV per atom) = 543
- formation energy from the elements (eV per atom) = 0.853



(7)
Below is a relaxed HfTaMn3 crystal, with properties calculated at the PBEsol level.

a b c (Å): 4.4547 4.4547 4.4547
angles (deg): 90.00 90.00 90.00
Space group Pm-3m (No. 221)
One atom of each set of equivalent atoms:
Hf  0.0000  0.0000  0.0000
Ta  0.5000  0.5000  0.5000
Mn  0.0000  0.5000  0.5000

Computed properties:
- calculated volume (Å³ per cell) = 88
- formation energy from the elements (eV per atom) = 1.244



(8)
Below is a relaxed TaNbAl6 crystal, with properties calculated at the PBEsol level.

a b c (Å): 3.8257 3.8257 8.5370
angles (deg): 90.00 90.00 90.00
Space group P4/mmm (No. 123)
One atom of each set of equivalent atoms:
Ta  0.0000  0.0000  0.0000
Nb  0.5000  0.5000  0.5000
Al  0.0000  0.0000  0.5000
Al  0.0000  0.5000  0.2492
Al  0.5000  0.5000  0.0000

Computed properties:
- calculated volume (Å³ per cell) = 125
- formation energy from the elements (eV per atom) = -0.376



(9)
Below is a relaxed TiCuP2N crystal, with properties calculated at the PBEsol level.

a b c (Å): 4.1721 4.1721 3.5890
angles (deg): 90.00 90.00 90.00
Space group P4/mmm (No. 123)
One atom of each set of equivalent atoms:
Ti  0.0000  0.0000  0.0000
Cu  0.5000  0.5000  0.0000
P  0.0000  0.5000  0.5000
N  0.5000  0.5000  0.5000

Computed properties:
- calculated volume (Å³ per cell) = 62
- formation energy without anion corrections (eV per atom) = 0.237



(10)
Below is a relaxed SiOsSe2 crystal, with properties calculated at the PBEsol level.

a b c (Å): 2.9495 4.5841 4.6561
angles (deg): 90.00 90.00 90.00
Space group Pmmm (No. 47)
One atom of each set of equivalent atoms:
Si  0.0000  0.0000  0.0000
Os  0.5000  0.0000  0.5000
Se  0.0000  0.5000  0.5000
Se  0.5000  0.5000  0.0000

Computed properties:
- calculated volume (Å³ per cell) = 63
- formation energy without anion corrections (eV per atom) = 0.719



(11)
Below is a relaxed HoTaRu2 crystal, with properties calculated at the PBEsol level.

a b c (Å): 6.4370 6.4370 6.4370
angles (deg): 90.00 90.00 90.00
Space group Fm-3m (No. 225)
One atom of each set of equivalent atoms:
Ho  0.0000  0.0000  0.0000
Ta  0.0000  0.0000  0.5000
Ru  0.2500  0.2500  0.2500

Computed properties:
- calculated volume (Å³ per cell) = 267
- formation energy from the elements (eV per atom) = -0.364



(12)
Below is a relaxed CaRu3N crystal, with properties calculated at the PBEsol level.

a b c (Å): 4.0829 4.0829 4.0829
angles (deg): 90.00 90.00 90.00
Space group Pm-3m (No. 221)
One atom of each set of equivalent atoms:
Ca  0.0000  0.0000  0.0000
Ru  0.0000  0.5000  0.5000
N  0.5000  0.5000  0.5000

Computed properties:
- calculated volume (Å³ per cell) = 68
- formation energy without anion corrections (eV per atom) = 0.094



(13)
Below is a relaxed MgCo2Si crystal, with properties calculated at the PBEsol level.

a b c (Å): 3.9791 3.9791 2.8406
angles (deg): 90.00 90.00 90.00
Space group P4/mmm (No. 123)
One atom of each set of equivalent atoms:
Mg  0.0000  0.0000  0.0000
Co  0.0000  0.5000  0.5000
Si  0.5000  0.5000  0.0000

Computed properties:
- calculated volume (Å³ per cell) = 45
- formation energy without anion corrections (eV per atom) = -0.300



(14)
Below is a relaxed TlAgPb2 crystal, with properties calculated at the PBEsol level.

a b c (Å): 3.5327 5.3290 10.9466
angles (deg): 90.00 90.00 90.00
Space group Imm2 (No. 44)
One atom of each set of equivalent atoms:
Tl  0.0000  0.0000  0.0000
Ag  0.0000  0.5000  0.7205
Pb  0.0000  0.0000  0.4419
Pb  0.0000  0.5000  0.2218

Computed properties:
- calculated volume (Å³ per cell) = 206
- excess energy over the best structure of this formula in the dataset (meV per atom) = 58
- formation energy from the elements (eV per atom) = 0.094



(15)
Below is a relaxed LaZr2Au crystal, with properties calculated at the PBEsol level.

a b c (Å): 5.1021 5.1021 3.2719
angles (deg): 90.00 90.00 90.00
Space group P4/mmm (No. 123)
One atom of each set of equivalent atoms:
La  0.0000  0.0000  0.0000
Zr  0.0000  0.5000  0.5000
Au  0.5000  0.5000  0.0000

Computed properties:
- calculated volume (Å³ per cell) = 85
- excess energy over the best structure of this formula in the dataset (meV per atom) = 0
- formation energy from the elements (eV per atom) = -0.116



(16)
Below is a relaxed Ta2TcIr crystal, with properties calculated at the PBEsol level.

a b c (Å): 2.9818 2.9818 25.1953
angles (deg): 90.00 90.00 120.00
Space group R-3m (No. 166, hexagonal axes)
One atom of each set of equivalent atoms:
Ta  0.0000  0.0000  0.2480
Tc  0.0000  0.0000  0.5000
Ir  0.0000  0.0000  0.0000

Computed properties:
- calculated volume (Å³ per cell) = 194
- formation energy from the elements (eV per atom) = -0.060



(17)
Below is a relaxed CoCuF2 crystal, with properties calculated at the PBEsol level.

a b c (Å): 5.4612 5.4612 5.4612
angles (deg): 90.00 90.00 90.00
Space group Fm-3m (No. 225)
One atom of each set of equivalent atoms:
Co  0.0000  0.0000  0.0000
Cu  0.0000  0.0000  0.5000
F  0.2500  0.2500  0.2500

Computed properties:
- calculated volume (Å³ per cell) = 163
- formation energy without anion corrections (eV per atom) = -0.458



(18)
Below is a relaxed CdAg2Au crystal, with properties calculated at the PBEsol level.

a b c (Å): 6.5185 6.5185 6.5185
angles (deg): 90.00 90.00 90.00
Space group F-43m (No. 216)
One atom of each set of equivalent atoms:
Cd  0.0000  0.0000  0.0000
Ag  0.0000  0.0000  0.5000
Ag  0.2500  0.2500  0.7500
Au  0.2500  0.2500  0.2500

Computed properties:
- calculated volume (Å³ per cell) = 277
- formation energy from the elements (eV per atom) = -0.090



(19)
Below is a relaxed AlHgAsSe2 crystal, with properties calculated at the PBEsol level.

a b c (Å): 4.8125 4.8125 4.9629
angles (deg): 90.00 90.00 90.00
Space group P4/mmm (No. 123)
One atom of each set of equivalent atoms:
Al  0.0000  0.0000  0.0000
Hg  0.5000  0.5000  0.5000
As  0.0000  0.0000  0.5000
Se  0.0000  0.5000  0.0000

Computed properties:
- calculated volume (Å³ per cell) = 115
- excess energy over the best structure of this formula in the dataset (meV per atom) = 0
- formation energy without anion corrections (eV per atom) = 0.273



(20)
Below is a relaxed SrMgRe2 crystal, with properties calculated at the PBEsol level.

a b c (Å): 3.9267 3.9267 9.7016
angles (deg): 90.00 90.00 90.00
Space group I4/mmm (No. 139)
One atom of each set of equivalent atoms:
Sr  0.0000  0.0000  0.0000
Mg  0.0000  0.0000  0.5000
Re  0.0000  0.5000  0.2500

Computed properties:
- calculated volume (Å³ per cell) = 150
- formation energy from the elements (eV per atom) = 1.077